# SmCu2PN

SmCu2PN after structural relaxation (PBE, the Alexandria database).

Summary:
Uncorrected formation energy ... -305.6 kJ/mol of formula units
Magnetization ... 0.000 μB per atom
DOS(E_F) ... 3.0 states/eV per cell
Energy ... -59.63 eV for the cell shown

a b c (Å): 6.013 6.013 6.876
angles (deg): 90.00 90.00 145.19
Fractional positions:
Sm 0.038 0.962 0.750
Sm 0.962 0.038 0.250
Cu 0.329 0.671 0.559
Cu 0.329 0.671 0.941
Cu 0.671 0.329 0.059
Cu 0.671 0.329 0.441
P 0.237 0.763 0.250
P 0.763 0.237 0.750
N 0.500 0.500 0.000
N 0.500 0.500 0.500